Record 1
Here is crystalline Mg2SbAs at its relaxed geometry from Alexandria. Energies are from PBE.

The structure belongs to space group R3m (No. 160, hexagonal axes); the cell edges are 3.2836, 3.2836 and 30.5153 Å and the angles 90.00°, 90.00° and 120.00°. The inequivalent atoms are Mg at (0.0000, 0.0000, 0.0000), Mg at (0.0000, 0.0000, 0.2463), Sb at (0.0000, 0.0000, 0.5016) and As at (0.0000, 0.0000, 0.7333).

The total DFT energy (no corrections) comes out at -34.92 eV per cell. The volume is 23.745 Å³/atom. The calculation puts the density at 4.29 g/cm3. For the formation energy from raw total energies, the calculation gives 0.0806 eV/atom.

Record 2
Here is crystalline Mg2SbAs at its relaxed geometry from Alexandria. Energies are from PBE.

The structure belongs to space group P2/m (No. 10); the cell edges are 3.3458, 3.9527 and 6.8979 Å and the angles 90.00°, 101.41° and 90.00°. The inequivalent atoms are Mg at (0.0491, 0.0000, 0.2706), Sb at (0.5000, 0.5000, 0.0000) and As at (0.5000, 0.5000, 0.5000).

The total DFT energy (no corrections) comes out at -12.69 eV per cell. The volume is 22.355 Å³/atom. The calculation puts the density at 4.56 g/cm3. For the formation energy from raw total energies, the calculation gives -0.1820 eV/atom.

Record 3
Here is crystalline Mg2SbAs at its relaxed geometry from Alexandria. Energies are from PBE.

The structure belongs to space group P4mm (No. 99); the cell edges are 3.0933, 3.0933 and 9.8823 Å and the angles 90.00°, 90.00° and 90.00°. The inequivalent atoms are Mg at (0.0000, 0.0000, 0.0000), Mg at (0.5000, 0.5000, 0.2503), Sb at (0.0000, 0.0000, 0.4832) and As at (0.5000, 0.5000, 0.8149).

The total DFT energy (no corrections) comes out at -11.94 eV per cell. The volume is 23.640 Å³/atom. The calculation puts the density at 4.31 g/cm3. For the formation energy from raw total energies, the calculation gives 0.0043 eV/atom.

Record 4
Here is crystalline Mg2SbAs at its relaxed geometry from Alexandria. Energies are from PBE.

The structure belongs to space group Fm-3m (No. 225); the cell edges are 7.0741, 7.0741 and 7.0741 Å and the angles 90.00°, 90.00° and 90.00°. The inequivalent atoms are Mg at (0.2500, 0.2500, 0.2500), Sb at (0.0000, 0.0000, 0.0000) and As at (0.0000, 0.0000, 0.5000).

The total DFT energy (no corrections) comes out at -49.96 eV per cell. The volume is 22.125 Å³/atom. The calculation puts the density at 4.60 g/cm3. For the formation energy from raw total energies, the calculation gives -0.1321 eV/atom.

Record 5
Here is crystalline MgSb3As at its relaxed geometry from Alexandria. Energies are from PBE.

The structure belongs to space group Pm-3m (No. 221); the cell edges are 5.3095, 5.3095 and 5.3095 Å and the angles 90.00°, 90.00° and 90.00°. The inequivalent atoms are Mg at (0.0000, 0.0000, 0.0000), Sb at (0.0000, 0.0000, 0.5000) and As at (0.5000, 0.5000, 0.5000).

The total DFT energy (no corrections) comes out at -14.78 eV per cell. The volume is 29.935 Å³/atom. The calculation puts the density at 5.15 g/cm3. For the formation energy from raw total energies, the calculation gives 0.7670 eV/atom.

Record 6
Here is crystalline MgSb2As at its relaxed geometry from Alexandria. Energies are from PBE.

The structure belongs to space group P2/m (No. 10); the cell edges are 3.0904, 4.0000 and 8.0954 Å and the angles 90.00°, 90.88° and 90.00°. The inequivalent atoms are Mg at (0.0000, 0.0000, 0.0000), Sb at (0.4984, 0.5000, 0.2384) and As at (0.5000, 0.0000, 0.5000).

The total DFT energy (no corrections) comes out at -14.46 eV per cell. The volume is 25.015 Å³/atom. The calculation puts the density at 5.69 g/cm3. For the formation energy from raw total energies, the calculation gives 0.0067 eV/atom.

Which of these has the lowest formation energy from raw total energies? number 2